(1)
Here is Ba2SrTl after structural relaxation from the Alexandria database. Energies are from PBE.

a = 4.262 Å, b = 4.262 Å, c = 10.876 Å
α = 90.00°, β = 90.00°, γ = 90.00°
Fractional coordinates of all 4 atoms:
Tl  0.500  0.500  0.737
Ba  0.000  0.000  0.932
Sr  0.000  0.000  0.568
Ba  0.500  0.500  0.263

Energy above the lowest structure with this stoichiometry: 15 meV/atom
Theoretical density: 4.76 g/cm3
Formation enthalpy at 0 K: -206 meV per atom
Uncorrected energy: -2.179 eV/atom
SG: No. 99

***

(2)
Here is ScCd2As after structural relaxation from the Alexandria database. Energies are from PBE.

a = 4.959 Å, b = 4.959 Å, c = 4.959 Å
α = 60.00°, β = 60.00°, γ = 60.00°
Fractional coordinates of all 4 atoms:
Cd  0.000  0.000  0.000
Sc  0.750  0.750  0.750
As  0.500  0.500  0.500
Cd  0.250  0.250  0.250

Theoretical density: 6.64 g/cm3
Formation enthalpy at 0 K: -147 meV per atom
Uncorrected energy: -3.350 eV/atom
SG: No. 216

***

(3)
Here is Rb3MgS after structural relaxation from the Alexandria database. Energies are from PBE.

a = 6.476 Å, b = 6.476 Å, c = 6.476 Å
α = 90.00°, β = 90.00°, γ = 90.00°
Fractional coordinates of all 5 atoms:
Rb  0.500  0.000  0.000
Rb  0.000  0.500  0.000
S  0.000  0.000  0.000
Rb  0.000  0.000  0.500
Mg  0.500  0.500  0.500

Energy above the lowest structure with this stoichiometry: 0 meV/atom
Theoretical density: 1.91 g/cm3
Uncorrected energy: -2.080 eV/atom
SG: No. 221
Raw formation energy: -0.3555 eV per atom